[1]
Crystalline ZrRhN2O at its relaxed geometry. Source: Alexandria, functional PBE-GGA.

Output
- ΔE_f (raw): 425 meV per atom
- Final energy: -7.0764 eV/atom
- Total moment: 0.627 μB per atom

Cell lengths 4.247, 4.247, 4.071 Å; angles 90.00, 90.00, 90.00 degrees
Each line ends with the local moment (μB).
Element x y z (fractional)
Rh (0.500, 0.500, 0.500)  1.63
O (0.000, 0.000, 0.500)  0.35
Zr (0.000, 0.000, 0.000)  -0.01
N (0.000, 0.500, 0.000)  0.39
N (0.500, 0.000, 0.000)  0.39

***

[2]
Crystalline ZrRhN2O at its relaxed geometry. Source: Alexandria, functional PBE-GGA.

Output
- ΔE_f (raw): 44 meV per atom
- Final energy: -7.4576 eV/atom
- Total moment: 0.000 μB per atom

Cell lengths 3.841, 3.841, 3.853 Å; angles 90.00, 90.00, 90.00 degrees
Element x y z (fractional)
Rh (0.000, 0.000, 0.000)
O (0.000, 0.000, 0.500)
Zr (0.500, 0.500, 0.500)
N (0.000, 0.500, 0.000)
N (0.500, 0.000, 0.000)